Record 1
PBE Zr3VRu4, optimized geometry; space group = P4/mmm; uncorrected energy = -75.7 eV per cell; E_form = -0.484 eV/atom; M_tot = 0.02 μB per atom
1.0
3.215 0.000 0.000
0.000 3.215 0.000
0.000 0.000 12.850
Ru Zr V
4 3 1
Cartesian
0.000 0.000 4.764
0.000 0.000 1.406
0.000 0.000 11.444
0.000 0.000 8.086
1.608 1.608 3.100
1.608 1.608 6.425
1.608 1.608 9.750
1.608 1.608 0.000

***

Record 2
PBE LaNbClO4, optimized geometry; space group = C2/m; uncorrected energy = -108.8 eV per cell; M_tot = 0.00 μB per atom
1.0
-6.968 -0.464 0.727
-2.670 -3.568 5.425
-1.300 5.417 4.768
Cl Nb La O
2 2 2 8
Cartesian
-10.582 0.793 10.203
-0.356 0.592 0.717
-3.829 0.032 3.524
-7.109 1.353 7.397
-7.071 -2.044 5.118
-3.867 3.430 5.803
-5.639 2.195 6.608
-2.306 -1.093 3.511
-3.491 1.682 4.304
-4.015 0.142 1.643
-8.632 2.478 7.409
-7.448 -0.297 6.616
-5.300 -0.810 4.313
-6.923 1.244 9.277

***

Record 3
PBE Ce2Ga3, optimized geometry; space group = Immm; uncorrected energy = -23.3 eV per cell; E_form = -0.476 eV/atom; M_tot = 0.30 μB per atom
1.0
-1.843 3.717 0.426
-5.204 -2.646 0.567
4.136 -0.758 4.082
Ce Ga
2 3
Cartesian
-0.570 1.731 2.845
-2.342 -1.417 2.231
-2.362 1.126 0.370
-4.686 -0.055 0.623
0.000 0.000 0.000